# ZnSbPd2 | Alexandria via LeMat-Bulk | PBE | relaxed
# * formation energy from raw total energies: -1.526 eV per formula unit
# * D(E_F): 1.5 states/eV/cell
data_ZnSbPd2
_space_group_name_H-M_alt 'P 4/m m m'
_space_group_IT_number 123
_space_group_name_Hall '-P 4 2'
_cell_length_a 3.206
_cell_length_b 3.206
_cell_length_c 6.649
_cell_angle_alpha 90.00
_cell_angle_beta 90.00
_cell_angle_gamma 90.00
loop_
_atom_site_label
_atom_site_type_symbol
_atom_site_fract_x
_atom_site_fract_y
_atom_site_fract_z
Zn1 Zn 0.000 0.000 0.000
Sb1 Sb 0.000 0.000 0.500
Pd1 Pd 0.500 0.500 0.220


# Ho2Er6Se3 | Alexandria via LeMat-Bulk | PBE | relaxed
# * formation energy from raw total energies: -9.455 eV per formula unit
# * D(E_F): 33.9 states/eV/cell
data_Ho2Er6Se3
_space_group_name_H-M_alt 'R -3 m'
_space_group_IT_number 166
_space_group_name_Hall '-R 3 2"'
_cell_length_a 3.7547
_cell_length_b 3.7547
_cell_length_c 74.9856
_cell_angle_alpha 90.00
_cell_angle_beta 90.00
_cell_angle_gamma 120.00
loop_
_atom_site_label
_atom_site_type_symbol
_atom_site_fract_x
_atom_site_fract_y
_atom_site_fract_z
Ho1 Ho 0.0000 0.0000 0.0559
Er1 Er 0.0000 0.0000 0.1423
Er2 Er 0.0000 0.0000 0.3150
Er3 Er 0.0000 0.0000 0.4262
Se1 Se 0.0000 0.0000 0.2150
Se2 Se 0.0000 0.0000 0.5000


# LiLaS2 | Alexandria via LeMat-Bulk | PBE | relaxed
# * formation energy from raw total energies: -7.539 eV per formula unit
# * D(E_F): 0.0 states/eV/cell
data_LiLaS2
_space_group_name_H-M_alt 'P 1 21/c 1'
_space_group_IT_number 14
_cell_length_a 6.958
_cell_length_b 7.378
_cell_length_c 7.009
_cell_angle_alpha 90.00
_cell_angle_beta 102.03
_cell_angle_gamma 90.00
loop_
_space_group_symop_operation_xyz
'x,y,z'
'-x,-y,-z'
'-x,y+1/2,-z+1/2'
'x,-y+1/2,z+1/2'
loop_
_atom_site_label
_atom_site_type_symbol
_atom_site_fract_x
_atom_site_fract_y
_atom_site_fract_z
Li1 Li 0.176 0.140 0.184
La1 La 0.296 0.567 0.195
S1 S 0.070 0.635 0.801
S2 S 0.417 0.238 0.986


# ZrTe2W | Alexandria via LeMat-Bulk | PBE | relaxed
# * formation energy from raw total energies: -0.493 eV per formula unit
# * D(E_F): 6.5 states/eV/cell
# * energy above the most stable polymorph in this dataset: 0.4 kJ per mole of atoms
data_ZrTe2W
_space_group_name_H-M_alt 'I m m m'
_space_group_IT_number 71
_space_group_name_Hall '-I 2 2'
_cell_length_a 3.667
_cell_length_b 4.397
_cell_length_c 14.100
_cell_angle_alpha 90.00
_cell_angle_beta 90.00
_cell_angle_gamma 90.00
loop_
_atom_site_label
_atom_site_type_symbol
_atom_site_fract_x
_atom_site_fract_y
_atom_site_fract_z
Zr1 Zr 0.000 0.000 0.000
Te1 Te 0.000 0.500 0.149
W1 W 0.000 0.000 0.500


# PO4 | Alexandria via LeMat-Bulk | PBE | relaxed
# * formation energy from raw total energies: -3.889 eV per formula unit
# * energy above the most stable polymorph in this dataset: 0.0 kJ per mole of atoms
data_PO4
_space_group_name_H-M_alt 'P 1 21/c 1'
_space_group_IT_number 14
_cell_length_a 5.943
_cell_length_b 5.472
_cell_length_c 12.009
_cell_angle_alpha 90.00
_cell_angle_beta 91.47
_cell_angle_gamma 90.00
loop_
_space_group_symop_operation_xyz
'x,y,z'
'-x,-y,-z'
'-x,y+1/2,-z+1/2'
'x,-y+1/2,z+1/2'
loop_
_atom_site_label
_atom_site_type_symbol
_atom_site_fract_x
_atom_site_fract_y
_atom_site_fract_z
P1 P 0.242 0.193 0.134
O1 O 0.027 0.243 0.064
O2 O 0.245 0.574 0.674
O3 O 0.249 0.137 0.736
O4 O 0.449 0.243 0.062


# CeErCoNi | Alexandria via LeMat-Bulk | PBE | relaxed
# * D(E_F): 25.1 states/eV/cell
# * energy of formation from the pure elements: -227 meV/atom
data_CeErCoNi
_space_group_name_H-M_alt 'F -4 3 m'
_space_group_IT_number 216
_space_group_name_Hall 'F -4 2 3'
_cell_length_a 6.718
_cell_length_b 6.718
_cell_length_c 6.718
_cell_angle_alpha 90.00
_cell_angle_beta 90.00
_cell_angle_gamma 90.00
loop_
_atom_site_label
_atom_site_type_symbol
_atom_site_fract_x
_atom_site_fract_y
_atom_site_fract_z
Ce1 Ce 0.000 0.000 0.000
Er1 Er 0.000 0.000 0.500
Co1 Co 0.250 0.250 0.250
Ni1 Ni 0.250 0.250 0.750